Record 1
Entry from Alexandria via LeMat-Bulk: a geometry-optimized Ba2In2Te structure (PBE).

Summary:
- E_form (uncorrected): -0.5640 eV per atom
- Calculated volume: 192.8 Å³/f.u.

Cell lengths 8.6559, 8.6559, 5.1467 Å; angles 90.00, 90.00, 90.00 degrees
Last column: nearest neighbours and their distance in Å.
Sites, in units of the cell vectors:
Ba: 0.1757 0.3243 0.0000  6 In 3.56-3.68
Ba: 0.3243 0.8243 0.0000  6 In 3.56-3.68
Ba: 0.6757 0.1757 0.0000  6 In 3.56-3.68
Ba: 0.8243 0.6757 0.0000  6 In 3.56-3.68
In: 0.1237 0.6237 0.5000  1 In 3.03
In: 0.3763 0.1237 0.5000  1 In 3.03
In: 0.6237 0.8763 0.5000  1 In 3.03
In: 0.8763 0.3763 0.5000  1 In 3.03
Te: 0.0000 0.0000 0.5000  4 In 3.43
Te: 0.5000 0.5000 0.5000  4 In 3.43

=====

Record 2
Entry from Alexandria via LeMat-Bulk: a geometry-optimized Ba2InTe2 structure (PBE).

Summary:
- E_form (uncorrected): -1.0401 eV per atom
- Energy relative to the lowest polymorph listed for this composition: 175 meV/atom
- Calculated volume: 200.2 Å³/f.u.

Cell lengths 9.4697, 9.4697, 4.4646 Å; angles 90.00, 90.00, 90.00 degrees
Last column: nearest neighbours and their distance in Å.
Sites, in units of the cell vectors:
Ba: 0.1457 0.3543 0.0000  6 Te 3.43-3.66, 2 In 3.63
Ba: 0.3543 0.8543 0.0000  6 Te 3.43-3.66, 2 In 3.63
Ba: 0.6457 0.1457 0.0000  6 Te 3.43-3.66, 2 In 3.63
Ba: 0.8543 0.6457 0.0000  6 Te 3.43-3.66, 2 In 3.63
In: 0.0000 0.0000 0.0000  4 Ba 3.63
In: 0.5000 0.5000 0.0000  4 Ba 3.63
Te: 0.1597 0.6597 0.5000  6 Ba 3.43-3.66
Te: 0.3403 0.1597 0.5000  6 Ba 3.43-3.66
Te: 0.6597 0.8403 0.5000  6 Ba 3.43-3.66
Te: 0.8403 0.3403 0.5000  6 Ba 3.43-3.66

=====

Record 3
Entry from Alexandria via LeMat-Bulk: a geometry-optimized Ba2InTe3 structure (PBE).

Summary:
- E_form (uncorrected): -1.1190 eV per atom
- Energy relative to the lowest polymorph listed for this composition: 38 meV/atom
- Calculated volume: 248.0 Å³/f.u.

Cell lengths 8.2231, 8.2231, 8.3981 Å; angles 99.98, 99.98, 63.14 degrees
Last column: nearest neighbours and their distance in Å.
Sites, in units of the cell vectors:
Ba: 0.0126 0.6774 0.8403  5 Te 3.41-3.71
Ba: 0.3226 0.9874 0.6597  5 Te 3.41-3.71
Ba: 0.6774 0.0126 0.3403  5 Te 3.41-3.71
Ba: 0.9874 0.3226 0.1597  5 Te 3.41-3.71
In: 0.4456 0.5544 0.2500  3 Te 2.90-2.99
In: 0.5544 0.4456 0.7500  3 Te 2.90-2.99
Te: 0.1087 0.8913 0.2500  1 In 2.90
Te: 0.2886 0.3759 0.4892  1 In 2.99
Te: 0.3759 0.2886 0.9892  1 In 2.99
Te: 0.6241 0.7114 0.0108  1 In 2.99
Te: 0.7114 0.6241 0.5108  1 In 2.99
Te: 0.8913 0.1087 0.7500  1 In 2.90

=====

Record 4
Entry from Alexandria via LeMat-Bulk: a geometry-optimized Ba2InTe3 structure (PBE).

Summary:
- E_form (uncorrected): -1.1574 eV per atom
- Energy relative to the lowest polymorph listed for this composition: 0 meV/atom
- Calculated volume: 250.2 Å³/f.u.

Cell lengths 10.2048, 10.2048, 10.2048 Å; angles 153.70, 147.81, 42.03 degrees
Last column: nearest neighbours and their distance in Å.
Sites, in units of the cell vectors:
Ba: 0.1526 0.1526 0.0000  7 Te 3.47-3.72
Ba: 0.8474 0.8474 0.0000  7 Te 3.47-3.72
In: 0.5000 0.5000 0.0000  4 Te 2.83-3.15
Te: 0.0000 0.5000 0.5000  2 In 2.83
Te: 0.3345 0.3345 0.0000  1 In 3.15, 1 Ba 3.47
Te: 0.6655 0.6655 0.0000  1 In 3.15, 1 Ba 3.47

=====

Record 5
Entry from Alexandria via LeMat-Bulk: a geometry-optimized Ba2InTe5 structure (PBE).

Summary:
- E_form (uncorrected): -0.9009 eV per atom
- Calculated volume: 305.9 Å³/f.u.

Cell lengths 7.3564, 7.3564, 7.3564 Å; angles 110.97, 110.97, 106.52 degrees
Last column: nearest neighbours and their distance in Å.
Sites, in units of the cell vectors:
Ba: 0.0000 0.5000 0.5000  8 Te 3.67-3.69
Ba: 0.5000 0.0000 0.5000  8 Te 3.67-3.69
In: 0.1392 0.1392 0.0000  5 Te 3.01-3.22
Te: 0.0106 0.0106 0.5174  1 In 3.01, 1 Te 3.06
Te: 0.0106 0.4932 0.0000  1 In 3.01, 1 Te 3.06
Te: 0.4932 0.0106 0.0000  1 In 3.01, 1 Te 3.06
Te: 0.4932 0.4932 0.4826  1 In 3.01, 1 Te 3.06
Te: 0.7737 0.7737 0.0000  4 Te 3.06, 1 In 3.22

=====

Record 6
Entry from Alexandria via LeMat-Bulk: a geometry-optimized BaIn3Te structure (PBE).

Summary:
- E_form (uncorrected): 0.7145 eV per atom
- Energy relative to the lowest polymorph listed for this composition: 623 meV/atom
- Calculated volume: 261.3 Å³/f.u.

Cell lengths 6.3930, 6.3930, 6.3930 Å; angles 90.00, 90.00, 90.00 degrees
Last column: nearest neighbours and their distance in Å.
Sites, in units of the cell vectors:
Ba: 0.0000 0.0000 0.0000  6 In 3.20
In: 0.0000 0.0000 0.5000  2 Ba 3.20
In: 0.0000 0.5000 0.0000  2 Ba 3.20
In: 0.5000 0.0000 0.0000  2 Ba 3.20
Te: 0.5000 0.5000 0.5000  12 In 4.52

=====

Record 7
Entry from Alexandria via LeMat-Bulk: a geometry-optimized Ba3InTe4 structure (PBE).

Summary:
- E_form (uncorrected): -1.2447 eV per atom
- Calculated volume: 410.3 Å³/f.u.

Cell lengths 11.6137, 10.0994, 6.9965 Å; angles 90.00, 90.00, 90.00 degrees
Last column: nearest neighbours and their distance in Å.
Sites, in units of the cell vectors:
Ba: 0.0000 0.1513 0.0000  5 Te 3.35-3.51
Ba: 0.2435 0.3327 0.5009  5 Te 3.36-3.51
Ba: 0.2565 0.6673 0.0009  5 Te 3.36-3.51
Ba: 0.5000 0.8487 0.5000  5 Te 3.35-3.51
Ba: 0.7435 0.6673 0.0009  5 Te 3.36-3.51
Ba: 0.7565 0.3327 0.5009  5 Te 3.36-3.51
In: 0.0000 0.8245 0.4538  4 Te 3.01-3.16
In: 0.5000 0.1755 0.9538  4 Te 3.01-3.16
Te: 0.0000 0.1346 0.5004  1 In 3.15, 4 Ba 3.46-3.51
Te: 0.0000 0.8195 0.0236  1 In 3.01, 3 Ba 3.35-3.36
Te: 0.2380 0.6772 0.5014  1 In 3.16, 4 Ba 3.48-3.51
Te: 0.2620 0.3228 0.0014  1 In 3.16, 4 Ba 3.48-3.51
Te: 0.5000 0.1805 0.5236  1 In 3.01, 3 Ba 3.35-3.36
Te: 0.5000 0.8654 0.0004  1 In 3.15, 4 Ba 3.46-3.51
Te: 0.7380 0.3228 0.0014  1 In 3.16, 4 Ba 3.48-3.51
Te: 0.7620 0.6772 0.5014  1 In 3.16, 4 Ba 3.48-3.51

=====

Record 8
Entry from Alexandria via LeMat-Bulk: a geometry-optimized BaIn2Te2 structure (PBE).

Summary:
- E_form (uncorrected): -0.5392 eV per atom
- Energy relative to the lowest polymorph listed for this composition: 126 meV/atom
- Calculated volume: 193.1 Å³/f.u.

Cell lengths 9.1279, 9.1279, 4.6354 Å; angles 90.00, 90.00, 90.00 degrees
Last column: nearest neighbours and their distance in Å.
Sites, in units of the cell vectors:
Ba: 0.0000 0.0000 0.0000  4 Te 3.36
Ba: 0.5000 0.5000 0.0000  4 Te 3.36
In: 0.1219 0.3781 0.5000  1 In 3.15, 2 Te 3.47
In: 0.3781 0.8781 0.5000  1 In 3.15, 2 Te 3.47
In: 0.6219 0.1219 0.5000  1 In 3.15, 2 Te 3.47
In: 0.8781 0.6219 0.5000  1 In 3.15, 2 Te 3.47
Te: 0.1778 0.6778 0.0000  2 Ba 3.36, 6 In 3.47-3.62
Te: 0.3222 0.1778 0.0000  2 Ba 3.36, 6 In 3.47-3.62
Te: 0.6778 0.8222 0.0000  2 Ba 3.36, 6 In 3.47-3.62
Te: 0.8222 0.3222 0.0000  2 Ba 3.36, 6 In 3.47-3.62

=====

Record 9
Entry from Alexandria via LeMat-Bulk: a geometry-optimized BaThIn2Te4 structure (PBE).

Summary:
- E_form (uncorrected): -0.9361 eV per atom
- Calculated volume: 313.5 Å³/f.u.

Cell lengths 8.2923, 4.6990, 8.4769 Å; angles 90.00, 108.35, 90.00 degrees
Last column: nearest neighbours and their distance in Å.
Sites, in units of the cell vectors:
Ba: 0.0000 0.0000 0.0000  6 Te 3.45-3.48
Th: 0.5000 0.5000 0.0000  6 Te 3.12-3.20
In: 0.0000 0.5000 0.5000  6 Te 3.60-3.68
In: 0.5000 0.0000 0.5000  6 Te 3.34-3.37
Te: 0.2777 0.5000 0.2357  1 Th 3.12, 2 In 3.37, 2 Ba 3.45
Te: 0.2839 0.0000 0.7727  2 Th 3.20, 1 In 3.34, 1 Ba 3.48
Te: 0.7161 0.0000 0.2273  2 Th 3.20, 1 In 3.34, 1 Ba 3.48
Te: 0.7223 0.5000 0.7643  1 Th 3.12, 2 In 3.37, 2 Ba 3.45

=====

Record 10
Entry from Alexandria via LeMat-Bulk: a geometry-optimized Ba2TiInTe5 structure (PBE).

Summary:
- E_form (uncorrected): -1.0257 eV per atom
- Calculated volume: 321.4 Å³/f.u.

Cell lengths 10.3493, 10.3493, 14.0962 Å; angles 90.00, 90.00, 154.80 degrees
Last column: nearest neighbours and their distance in Å.
Sites, in units of the cell vectors:
Ba: 0.1237 0.8763 0.5000  7 Te 3.47-3.78
Ba: 0.1355 0.8645 0.1171  8 Te 3.53-3.84
Ba: 0.8645 0.1355 0.6171  8 Te 3.53-3.84
Ba: 0.8763 0.1237 0.0000  7 Te 3.47-3.78
Ti: 0.2137 0.7863 0.8295  5 Te 2.74-3.03
Ti: 0.7863 0.2137 0.3295  5 Te 2.74-3.03
In: 0.4422 0.5578 0.2464  4 Te 2.76-2.89
In: 0.5578 0.4422 0.7464  4 Te 2.76-2.89
Te: 0.0610 0.9390 0.8662  2 In 2.82, 1 Ti 3.13
Te: 0.2924 0.7076 0.4547  2 Ti 2.87
Te: 0.3047 0.6953 0.1890  1 In 2.89, 2 Ti 3.03
Te: 0.3489 0.6511 0.8120  1 Ti 2.74
Te: 0.4958 0.5042 0.5723  1 In 2.76
Te: 0.5042 0.4958 0.0723  1 In 2.76
Te: 0.6511 0.3489 0.3120  1 Ti 2.74
Te: 0.6953 0.3047 0.6890  1 In 2.89, 2 Ti 3.03
Te: 0.7076 0.2924 0.9547  2 Ti 2.87
Te: 0.9390 0.0610 0.3662  2 In 2.82, 1 Ti 3.13

=====

Record 11
Entry from Alexandria via LeMat-Bulk: a geometry-optimized BaTl2In2Te4 structure (PBE).

Summary:
- E_form (uncorrected): -0.5570 eV per atom
- Calculated volume: 363.0 Å³/f.u.

Cell lengths 9.5503, 9.5503, 7.2838 Å; angles 101.58, 101.58, 33.98 degrees
Last column: nearest neighbours and their distance in Å.
Sites, in units of the cell vectors:
Ba: 0.0000 0.0000 0.0000  6 Te 3.57-3.62
Tl: 0.2057 0.2057 0.3662  3 Te 3.44-3.47, 1 In 3.56, 2 Tl 3.59
Tl: 0.7943 0.7943 0.6338  3 Te 3.44-3.47, 1 In 3.56, 2 Tl 3.59
In: 0.3301 0.3301 0.0489  4 Te 2.90-3.14
In: 0.6699 0.6699 0.9511  4 Te 2.90-3.14
Te: 0.1655 0.1655 0.8118  3 In 2.96-3.14
Te: 0.4056 0.4056 0.7355  1 In 2.90
Te: 0.5944 0.5944 0.2645  1 In 2.90
Te: 0.8345 0.8345 0.1882  3 In 2.96-3.14

=====

Record 12
Entry from Alexandria via LeMat-Bulk: a geometry-optimized Ba2TlInTe5 structure (PBE).

Summary:
- E_form (uncorrected): -0.8852 eV per atom
- Calculated volume: 341.9 Å³/f.u.

Cell lengths 11.0370, 11.0370, 13.7095 Å; angles 90.00, 90.00, 155.83 degrees
Last column: nearest neighbours and their distance in Å.
Sites, in units of the cell vectors:
Ba: 0.1105 0.8895 0.5000  8 Te 3.51-3.89
Ba: 0.1220 0.8780 0.1171  7 Te 3.52-3.64
Ba: 0.8780 0.1220 0.6171  7 Te 3.52-3.64
Ba: 0.8895 0.1105 0.0000  8 Te 3.51-3.89
Tl: 0.2335 0.7665 0.8429  5 Te 2.92-3.26
Tl: 0.7665 0.2335 0.3429  5 Te 2.92-3.26
In: 0.4315 0.5685 0.2648  4 Te 2.81-2.90
In: 0.5685 0.4315 0.7648  4 Te 2.81-2.90
Te: 0.0447 0.9553 0.8807  2 In 2.85
Te: 0.2754 0.7246 0.4948  2 Tl 3.12
Te: 0.3064 0.6936 0.1874  1 In 2.90
Te: 0.3672 0.6328 0.8101  1 Tl 2.92
Te: 0.4985 0.5015 0.0893  1 In 2.81
Te: 0.5015 0.4985 0.5893  1 In 2.81
Te: 0.6328 0.3672 0.3101  1 Tl 2.92
Te: 0.6936 0.3064 0.6874  1 In 2.90
Te: 0.7246 0.2754 0.9948  2 Tl 3.12
Te: 0.9553 0.0447 0.3807  2 In 2.85